BeAl2GaAu | Alexandria via LeMat-Bulk | PBE | relaxed; V = 105 Å³/cell; space group = No. 123; total DFT energy (no corrections) = -3.174 eV/atom; D(E_F) = 0.41 states/eV/atom; E_form = 0.330 eV/atom
1.0
-4.309 1.839 1.274
-1.584 -4.107 0.569
1.414 0.098 4.643
Al Au Ga Be
2 1 1 1
Direct
0.500 0.000 0.000 Al
0.000 0.000 0.500 Al
0.000 0.000 0.000 Au
0.500 0.500 0.500 Ga
0.000 0.500 0.000 Be

Ca2Zn2Cd | Alexandria via LeMat-Bulk | PBE | relaxed; polymorph energy (0 for the lowest one) = 0.149 eV/atom; V = 131 Å³/cell; space group = No. 139; total DFT energy (no corrections) = -1.633 eV/atom; D(E_F) = 0.46 states/eV/atom; E_form = -0.140 eV/atom
1.0
-1.480 -3.032 1.616
-0.578 -1.515 -3.371
7.444 -6.234 -0.550
Ca Cd Zn
2 1 2
Direct
0.608 0.608 0.785 Ca
0.392 0.392 0.215 Ca
0.000 0.000 0.000 Cd
0.750 0.250 0.500 Zn
0.250 0.750 0.500 Zn

K2AgP2Se6 | Alexandria via LeMat-Bulk | PBE | relaxed; V = 329 Å³/cell; space group = No. 166; total DFT energy (no corrections) = -3.734 eV/atom; raw formation energy = -0.391 eV per atom; D(E_F) = 0.62 states/eV/atom
1.0
-1.986 6.777 0.914
-6.633 1.514 2.101
-0.683 2.441 8.152
Se P K Ag
6 2 2 1
Direct
0.252 0.252 0.721 Se
0.748 0.225 0.279 Se
0.748 0.748 0.279 Se
0.225 0.748 0.279 Se
0.252 0.775 0.721 Se
0.775 0.252 0.721 Se
0.448 0.448 0.655 P
0.552 0.552 0.345 P
0.773 0.773 0.682 K
0.227 0.227 0.318 K
0.000 0.000 0.000 Ag

La2GaHg2 | Alexandria via LeMat-Bulk | PBE | relaxed; polymorph energy (0 for the lowest one) = 0.249 eV/atom; V = 333 Å³/cell; space group = No. 127; total DFT energy (no corrections) = -2.955 eV/atom; D(E_F) = 1.41 states/eV/atom; E_form = -0.258 eV/atom
1.0
-7.250 -4.665 -2.636
3.900 -7.636 2.785
-1.670 0.500 3.708
Hg Ga La
4 2 4
Direct
0.370 0.130 0.500 Hg
0.630 0.870 0.500 Hg
0.870 0.370 0.500 Hg
0.130 0.630 0.500 Hg
0.500 0.500 0.000 Ga
0.000 0.000 0.000 Ga
0.831 0.669 0.000 La
0.669 0.169 0.000 La
0.169 0.331 0.000 La
0.331 0.831 0.000 La

CsIn6Se8 | Alexandria via LeMat-Bulk | PBE | relaxed; polymorph energy (0 for the lowest one) = 0.000 eV/atom; V = 478 Å³/cell; space group = No. 148; total DFT energy (no corrections) = -3.523 eV/atom; raw formation energy = -0.512 eV per atom; D(E_F) = 0.41 states/eV/atom
1.0
-1.459 -1.991 -7.494
-1.339 -7.081 3.211
-7.041 3.185 1.593
Se In Cs
8 6 1
Direct
0.606 0.838 0.164 Se
0.164 0.606 0.838 Se
0.328 0.328 0.328 Se
0.672 0.672 0.672 Se
0.836 0.394 0.162 Se
0.394 0.162 0.836 Se
0.162 0.836 0.394 Se
0.838 0.164 0.606 Se
0.693 0.382 0.823 In
0.307 0.618 0.177 In
0.618 0.177 0.307 In
0.382 0.823 0.693 In
0.823 0.693 0.382 In
0.177 0.307 0.618 In
0.000 0.000 0.000 Cs

Pr4Pt3Au | Alexandria via LeMat-Bulk | PBE | relaxed; V = 204 Å³/cell; space group = No. 25; total DFT energy (no corrections) = -6.102 eV/atom; D(E_F) = 0.62 states/eV/atom; E_form = -1.038 eV/atom
1.0
-3.655 1.195 0.907
-1.545 -4.388 -0.446
2.059 -1.811 10.687
Pt Au Pr
3 1 4
Direct
0.000 0.000 0.411 Pt
0.500 0.000 0.913 Pt
0.000 0.500 0.588 Pt
0.500 0.500 0.086 Au
0.500 0.500 0.370 Pr
0.000 0.500 0.857 Pr
0.500 0.000 0.637 Pr
0.000 0.000 0.138 Pr

SmLu2Ir | Alexandria via LeMat-Bulk | PBE | relaxed; polymorph energy (0 for the lowest one) = 0.000 eV/atom; V = 102 Å³/cell; space group = No. 123; total DFT energy (no corrections) = -6.153 eV/atom; D(E_F) = 1.25 states/eV/atom; E_form = -0.497 eV/atom
1.0
3.411 0.000 0.000
0.000 3.411 0.000
0.000 0.000 8.748
Lu Ir Sm
2 1 1
Direct
0.000 0.000 0.184 Lu
0.000 0.000 0.816 Lu
0.500 0.500 0.000 Ir
0.500 0.500 0.500 Sm

La3Y2Ho3 | Alexandria via LeMat-Bulk | PBE | relaxed; V = 269 Å³/cell; space group = No. 71; total DFT energy (no corrections) = -5.148 eV/atom; D(E_F) = 1.74 states/eV/atom; E_form = 0.033 eV/atom
1.0
-0.551 -4.673 -1.828
3.538 0.998 -3.617
5.942 -1.521 9.068
La Ho Y
3 3 2
Direct
0.623 0.623 0.247 La
0.500 0.000 0.000 La
0.377 0.377 0.753 La
0.873 0.873 0.746 Ho
0.127 0.127 0.254 Ho
0.000 0.500 0.000 Ho
0.749 0.249 0.497 Y
0.251 0.751 0.503 Y

ZrTaAsBr2 | Alexandria via LeMat-Bulk | PBE | relaxed; polymorph energy (0 for the lowest one) = 0.162 eV/atom; V = 143 Å³/cell; space group = No. 123; total DFT energy (no corrections) = -5.024 eV/atom; raw formation energy = 0.655 eV per atom; D(E_F) = 1.36 states/eV/atom
1.0
-1.494 -1.491 -4.684
-0.479 -5.114 1.780
-4.895 0.902 1.274
Br Zr As Ta
2 1 1 1
Direct
0.500 0.000 0.000 Br
0.000 0.000 0.500 Br
0.000 0.000 0.000 Zr
0.000 0.500 0.000 As
0.500 0.500 0.500 Ta

Pr2Zn15Ru2 | Alexandria via LeMat-Bulk | PBE | relaxed; V = 311 Å³/cell; space group = No. 166; total DFT energy (no corrections) = -2.704 eV/atom; D(E_F) = 0.33 states/eV/atom; E_form = -0.219 eV/atom
1.0
6.821 -0.041 -0.037
0.844 6.768 -0.037
0.844 0.741 6.728
Zn Ru Pr
15 2 2
Direct
0.283 0.000 0.717 Zn
0.000 0.500 0.000 Zn
0.717 0.000 0.283 Zn
0.347 0.852 0.347 Zn
0.148 0.653 0.653 Zn
0.000 0.283 0.717 Zn
0.717 0.283 0.000 Zn
0.500 0.000 0.000 Zn
0.347 0.347 0.852 Zn
0.000 0.717 0.283 Zn
0.283 0.717 0.000 Zn
0.653 0.653 0.148 Zn
0.000 0.000 0.500 Zn
0.653 0.148 0.653 Zn
0.852 0.347 0.347 Zn
0.900 0.900 0.900 Ru
0.100 0.100 0.100 Ru
0.337 0.337 0.337 Pr
0.663 0.663 0.663 Pr

Ca2TaTe | Alexandria via LeMat-Bulk | PBE | relaxed; V = 115 Å³/cell; space group = No. 99; total DFT energy (no corrections) = -4.776 eV/atom; raw formation energy = -0.026 eV per atom; D(E_F) = 0.74 states/eV/atom
1.0
3.640 0.000 0.000
0.000 3.640 0.000
0.000 0.000 8.704
Ca Te Ta
2 1 1
Direct
0.500 0.500 0.307 Ca
0.000 0.000 0.945 Ca
0.500 0.500 0.693 Te
0.000 0.000 0.554 Ta

TbDy3Er2P6 | Alexandria via LeMat-Bulk | PBE | relaxed; V = 271 Å³/cell; space group = No. 12; total DFT energy (no corrections) = -6.615 eV/atom; D(E_F) = 0.14 states/eV/atom; E_form = -1.613 eV/atom
1.0
-4.845 4.703 -1.528
0.057 -3.010 6.234
5.482 4.174 0.685
P Er Tb Dy
6 2 1 3
Direct
0.083 0.418 0.249 P
0.582 0.917 0.751 P
0.252 0.252 0.751 P
0.748 0.748 0.249 P
0.917 0.582 0.751 P
0.418 0.083 0.249 P
0.333 0.667 0.000 Er
0.667 0.333 0.000 Er
0.000 0.000 0.000 Tb
0.834 0.166 0.500 Dy
0.166 0.834 0.500 Dy
0.500 0.500 0.500 Dy

- Which of these has the highest V?
  CsIn6Se8

- Which of these has the highest D(E_F)?
  La3Y2Ho3

Repeat the twelfth record exactly.
TbDy3Er2P6 | Alexandria via LeMat-Bulk | PBE | relaxed; V = 271 Å³/cell; space group = No. 12; total DFT energy (no corrections) = -6.615 eV/atom; D(E_F) = 0.14 states/eV/atom; E_form = -1.613 eV/atom
1.0
-4.845 4.703 -1.528
0.057 -3.010 6.234
5.482 4.174 0.685
P Er Tb Dy
6 2 1 3
Direct
0.083 0.418 0.249 P
0.582 0.917 0.751 P
0.252 0.252 0.751 P
0.748 0.748 0.249 P
0.917 0.582 0.751 P
0.418 0.083 0.249 P
0.333 0.667 0.000 Er
0.667 0.333 0.000 Er
0.000 0.000 0.000 Tb
0.834 0.166 0.500 Dy
0.166 0.834 0.500 Dy
0.500 0.500 0.500 Dy